A plane-wave DFT calculation with PBE with a Hubbard U was carried out for a geometry-optimized CoSeOF2 structure.

Cell lengths 4.519, 4.519, 3.769 Å; angles 90.00, 90.00, 90.00 degrees
Positions (direct):
Co1 0.000 0.000 0.000
Se1 0.500 0.500 0.500
O1 0.500 0.500 0.000
F1 0.000 0.500 0.500
F2 0.500 0.000 0.500

Computed properties:
- uncorrected energy (eV per atom) = -3.770
- DOS(E_F) (states/eV per atom) = 0.366
- spin magnetization (μB/atom) = 0.4346